BaCl: relaxed, PBE-GGA.

Output
**Space-group type**: Amm2
**Raw formation energy**: -3.55 eV per formula unit

a = 4.6908 Å, b = 12.8419 Å, c = 7.8100 Å
α = 90.00°, β = 90.00°, γ = 90.00°
Closest atoms and distances in Å follow each position.
Positions (direct):
Ba: 0.5000 0.5000 0.3204  4 Cl 3.17-3.54
Ba: 0.0000 0.3330 0.7634  5 Cl 3.08-3.34
Ba: 0.0000 0.8330 0.2634  5 Cl 3.08-3.34
Ba: 0.5000 0.0000 0.8204  4 Cl 3.17-3.54
Ba: 0.0000 0.6670 0.7634  5 Cl 3.08-3.34
Ba: 0.0000 0.1670 0.2634  5 Cl 3.08-3.34
Cl: 0.0000 0.0000 0.5468  4 Ba 3.08-3.17
Cl: 0.0000 0.5000 0.0468  4 Ba 3.08-3.17
Cl: 0.5000 0.7233 0.0540  5 Ba 3.19-3.54
Cl: 0.5000 0.7767 0.5540  5 Ba 3.19-3.54
Cl: 0.5000 0.2233 0.5540  5 Ba 3.19-3.54
Cl: 0.5000 0.2767 0.0540  5 Ba 3.19-3.54